BH3Pd7: relaxed, PBE-GGA.

a b c (Å): 4.9830 4.9830 5.3260
angles (deg): 83.30 83.30 103.91
Fractional positions:
B 0.1562 0.1562 0.9524
H 0.6993 0.2300 0.4658
H 0.5616 0.5616 0.1420
H 0.2300 0.6993 0.4658
Pd 0.9943 0.9943 0.3297
Pd 0.5623 0.1976 0.0964
Pd 0.9852 0.3793 0.6657
Pd 0.1976 0.5623 0.0964
Pd 0.5511 0.5511 0.4835
Pd 0.3793 0.9852 0.6657
Pd 0.8081 0.8081 0.8866

Volume (Å³ per cell): 126
E (eV/atom): -4.90
N(E_F) (states/eV per cell): 3.7